DFT (PBE) results for an optimized crystal structure of La4HoMg.

Cell: 10.886 6.302 12.278 Å, 90.00 107.29 90.00°
Space group C2/c (No. 15)
Symmetry-distinct sites (fractional):
La 0.081 0.239 0.497
La 0.169 0.422 0.249
Ho 0.250 0.250 0.000
Mg 0.000 0.087 0.750

DOS at the Fermi energy (states/eV/cell): 32.86
Formation energy (meV/atom): -1
Crystal system: monoclinic
Energy above the lowest structure with this stoichiometry (meV/atom): 20